Here is a geometry-optimized V2Cl3F structure from the Alexandria database. Energies are from GGA+U.

abc: 3.6074 8.7043 9.9675
angles: 93.99 79.57 78.04
Last column: magnetic moment on the atom in μB.
Fractional coordinates of all 12 atoms:
V  0.1180  0.6529  0.1111  2.76
V  0.3753  0.8955  0.3540  2.73
Cl  0.0673  0.0510  0.8144  -0.02
Cl  0.8274  0.8273  0.5179  -0.02
V  0.6247  0.1045  0.6460  2.73
F  0.5458  0.6678  0.2406  0.01
V  0.8820  0.3471  0.8889  2.76
F  0.4542  0.3322  0.7594  0.01
Cl  0.7129  0.6457  0.9284  -0.03
Cl  0.1726  0.1727  0.4821  -0.02
Cl  0.2871  0.3543  0.0716  -0.03
Cl  0.9327  0.9490  0.1856  -0.02

Values from the calculation:
Final energy ... -5.3100 eV/atom
Crystal system ... monoclinic

=====

Here is a geometry-optimized VCl2F structure from the Alexandria database. Energies are from GGA+U.

abc: 7.9107 7.9107 7.9107
angles: 30.72 30.72 30.72
Last column: magnetic moment on the atom in μB.
Fractional coordinates of all 4 atoms:
Cl  0.0950  0.0950  0.0950  -0.10
F  0.5000  0.5000  0.5000  0.36
V  0.0000  0.0000  0.0000  2.38
Cl  0.9050  0.9050  0.9050  -0.10

Values from the calculation:
Final energy ... -3.3814 eV/atom
Crystal system ... trigonal
Distance to the lowest polymorph of the same formula ... 1553 meV per atom

=====

Here is a geometry-optimized VClF structure from the Alexandria database. Energies are from GGA+U.

abc: 3.5109 6.0612 7.1901
angles: 55.85 76.18 90.01
Last column: magnetic moment on the atom in μB.
Fractional coordinates of all 6 atoms:
F  0.1724  0.4773  0.6589  0.01
F  0.8276  0.5227  0.3411  0.01
Cl  0.6276  0.9164  0.7496  -0.02
V  0.7492  0.7334  0.5019  2.75
Cl  0.3724  0.0836  0.2504  -0.02
V  0.2508  0.2666  0.4981  2.75

Values from the calculation:
Final energy ... -5.6352 eV/atom
Crystal system ... triclinic
Distance to the lowest polymorph of the same formula ... 0 meV per atom

=====

Here is a geometry-optimized V3ClF structure from the Alexandria database. Energies are from GGA+U.

abc: 4.6761 4.6761 4.6761
angles: 90.00 90.00 90.00
Last column: magnetic moment on the atom in μB.
Fractional coordinates of all 5 atoms:
V  0.0000  0.5000  0.0000  3.28
F  0.0000  0.0000  0.0000  0.07
Cl  0.5000  0.5000  0.5000  0.15
V  0.0000  0.0000  0.5000  3.28
V  0.5000  0.0000  0.0000  3.28

Values from the calculation:
Final energy ... -4.7652 eV/atom
Crystal system ... cubic
Distance to the lowest polymorph of the same formula ... 0 meV per atom

=====

Here is a geometry-optimized VCl2F structure from the Alexandria database. Energies are from GGA+U.

abc: 5.4248 6.2453 9.4700
angles: 90.00 90.00 90.00
Last column: magnetic moment on the atom in μB.
Fractional coordinates of all 16 atoms:
F  0.2500  0.1647  0.7500  0.00
Cl  0.7602  0.4166  0.4227  -0.04
F  0.7500  0.3353  0.7500  0.00
Cl  0.2398  0.0834  0.4227  -0.04
V  0.5000  0.7500  0.1006  1.96
V  0.5000  0.2500  0.8994  1.96
Cl  0.2398  0.5834  0.5773  -0.04
V  0.0000  0.7500  0.3994  1.96
V  0.0000  0.2500  0.6006  1.96
Cl  0.7398  0.4166  0.0773  -0.04
Cl  0.2602  0.0834  0.0773  -0.04
F  0.2500  0.6647  0.2500  0.00
F  0.7500  0.8353  0.2500  0.00
Cl  0.7602  0.9166  0.5773  -0.04
Cl  0.7398  0.9166  0.9227  -0.04
Cl  0.2602  0.5834  0.9227  -0.04

Values from the calculation:
Final energy ... -4.9345 eV/atom
Crystal system ... orthorhombic
Distance to the lowest polymorph of the same formula ... 0 meV per atom

=====

Here is a geometry-optimized VClF structure from the Alexandria database. Energies are from GGA+U.

abc: 5.3906 3.5044 3.5044
angles: 120.00 90.00 90.00
Last column: magnetic moment on the atom in μB.
Fractional coordinates of all 3 atoms:
F  0.1339  0.0000  0.0000  0.01
V  0.2977  0.6667  0.3333  2.75
Cl  0.5684  0.3333  0.6667  -0.03

Values from the calculation:
Final energy ... -5.5846 eV/atom
Crystal system ... trigonal
Distance to the lowest polymorph of the same formula ... 51 meV per atom

=====

Here is a geometry-optimized VCl2F structure from the Alexandria database. Energies are from GGA+U.

abc: 9.0304 9.0304 6.6812
angles: 47.48 47.48 90.00
Last column: magnetic moment on the atom in μB.
Fractional coordinates of all 8 atoms:
Cl  0.7859  0.1250  0.2500  -0.08
Cl  0.8750  0.0359  0.7500  -0.08
F  0.2500  0.7500  0.5000  -0.03
V  0.7500  0.2500  0.5000  2.04
Cl  0.9641  0.6250  0.2500  -0.08
Cl  0.3750  0.2141  0.7500  -0.08
V  0.0000  0.0000  0.0000  2.04
F  0.5000  0.5000  0.0000  -0.03

Values from the calculation:
Final energy ... -4.7443 eV/atom
Crystal system ... tetragonal
Distance to the lowest polymorph of the same formula ... 190 meV per atom

=====

Here is a geometry-optimized VCl2F structure from the Alexandria database. Energies are from GGA+U.

abc: 7.7892 7.7892 7.7892
angles: 27.71 27.71 27.71
Last column: magnetic moment on the atom in μB.
Fractional coordinates of all 4 atoms:
Cl  0.8917  0.8917  0.8917  0.04
Cl  0.1083  0.1083  0.1083  0.04
V  0.5000  0.5000  0.5000  2.63
F  0.0000  0.0000  0.0000  0.53

Values from the calculation:
Final energy ... -4.0734 eV/atom
Crystal system ... trigonal
Distance to the lowest polymorph of the same formula ... 861 meV per atom

=====

Here is a geometry-optimized VCl2F structure from the Alexandria database. Energies are from GGA+U.

abc: 4.3475 4.3475 4.3475
angles: 60.00 60.00 60.00
Last column: magnetic moment on the atom in μB.
Fractional coordinates of all 4 atoms:
F  0.0000  0.0000  0.0000  -0.05
Cl  0.2500  0.2500  0.2500  -0.14
V  0.5000  0.5000  0.5000  2.14
Cl  0.7500  0.7500  0.7500  -0.14

Values from the calculation:
Final energy ... -4.0888 eV/atom
Crystal system ... cubic
Distance to the lowest polymorph of the same formula ... 846 meV per atom

=====

Here is a geometry-optimized YVCl2F structure from the Alexandria database. Energies are from GGA+U.

abc: 5.1580 3.9737 5.1580
angles: 90.00 90.00 90.00
Last column: magnetic moment on the atom in μB.
Fractional coordinates of all 5 atoms:
F  0.0000  0.5000  0.0000  0.05
Y  0.5000  0.5000  0.5000  0.20
V  0.0000  0.0000  0.0000  2.86
Cl  0.5000  0.0000  0.0000  -0.01
Cl  0.0000  0.0000  0.5000  -0.01

Values from the calculation:
Final energy ... -5.1008 eV/atom
Crystal system ... tetragonal
Distance to the lowest polymorph of the same formula ... 0 meV per atom

=====

Here is a geometry-optimized YVCl2F structure from the Alexandria database. Energies are from GGA+U.

abc: 4.6691 5.7812 4.6691
angles: 90.00 90.00 90.00
Last column: magnetic moment on the atom in μB.
Fractional coordinates of all 5 atoms:
Cl  0.0000  0.0000  0.5000  -0.01
V  0.0000  0.0000  0.0000  2.58
Y  0.0000  0.5000  0.0000  0.04
F  0.5000  0.5000  0.5000  0.00
Cl  0.5000  0.0000  0.0000  0.04

Values from the calculation:
Final energy ... -4.6801 eV/atom
Crystal system ... tetragonal
Distance to the lowest polymorph of the same formula ... 421 meV per atom

=====

Here is a geometry-optimized W3ClF structure from the Alexandria database. Energies are from GGA+U.

abc: 4.4222 4.4222 4.4222
angles: 90.00 90.00 90.00
Fractional coordinates of all 5 atoms:
Cl  0.5000  0.5000  0.5000
W  0.5000  0.0000  0.0000
F  0.0000  0.0000  0.0000
W  0.0000  0.5000  0.0000
W  0.0000  0.0000  0.5000

Values from the calculation:
Final energy ... -3.1774 eV/atom
Crystal system ... cubic
Distance to the lowest polymorph of the same formula ... 0 meV per atom

=====

Here is a geometry-optimized WClF structure from the Alexandria database. Energies are from GGA+U.

abc: 3.2616 5.2815 8.2502
angles: 103.43 86.58 101.47
Last column: magnetic moment on the atom in μB.
Fractional coordinates of all 6 atoms:
W  0.8271  0.6923  0.5582  -0.13
Cl  0.7656  0.6862  0.8338  -0.02
W  0.1729  0.3077  0.4418  -0.13
F  0.8978  0.8784  0.3599  0.01
F  0.1022  0.1216  0.6401  0.01
Cl  0.2344  0.3138  0.1662  -0.02

Values from the calculation:
Final energy ... -4.4834 eV/atom
Crystal system ... triclinic

=====

Here is a geometry-optimized W2ClF structure from the Alexandria database. Energies are from GGA+U.

abc: 5.3036 5.3036 6.4770
angles: 65.83 65.83 90.00
Last column: magnetic moment on the atom in μB.
Fractional coordinates of all 8 atoms:
W  0.3750  0.4036  0.7500  1.17
F  0.5000  0.5000  0.0000  -0.01
Cl  0.7500  0.2500  0.5000  0.00
W  0.5964  0.1250  0.2500  1.19
F  0.2500  0.7500  0.5000  -0.01
W  0.1536  0.6250  0.2500  1.19
Cl  0.0000  0.0000  0.0000  0.00
W  0.8750  0.8464  0.7500  1.23

Values from the calculation:
Final energy ... -3.2930 eV/atom
Crystal system ... tetragonal
Distance to the lowest polymorph of the same formula ... 0 meV per atom

=====

Here is a geometry-optimized WCl3F6 structure from the Alexandria database. Energies are from GGA+U.

abc: 5.6025 5.9692 6.8010
angles: 88.20 90.00 117.99
Fractional coordinates of all 10 atoms:
F  0.6148  0.7542  0.5459
F  0.8606  0.2458  0.4541
F  0.4652  0.9304  0.2308
Cl  0.0000  0.0000  0.0000
Cl  0.2158  0.4317  0.9956
W  0.5000  0.0000  0.5000
F  0.3852  0.2458  0.4541
F  0.1394  0.7542  0.5459
F  0.5348  0.0696  0.7692
Cl  0.7842  0.5683  0.0044

Values from the calculation:
Final energy ... -4.1658 eV/atom
Crystal system ... monoclinic

=====

Here is a geometry-optimized W2ClF structure from the Alexandria database. Energies are from GGA+U.

abc: 4.3903 4.3903 4.3903
angles: 60.00 60.00 60.00
Last column: magnetic moment on the atom in μB.
Fractional coordinates of all 4 atoms:
F  0.0000  0.0000  0.0000  -0.01
W  0.2500  0.2500  0.2500  0.52
W  0.7500  0.7500  0.7500  0.52
Cl  0.5000  0.5000  0.5000  -0.09

Values from the calculation:
Final energy ... -3.0716 eV/atom
Crystal system ... cubic
Distance to the lowest polymorph of the same formula ... 221 meV per atom

=====

Here is a geometry-optimized WCl2F6 structure from the Alexandria database. Energies are from GGA+U.

abc: 3.7467 8.5229 6.7702
angles: 129.01 96.84 90.00
Fractional coordinates of all 9 atoms:
Cl  0.3967  0.4072  0.8145
F  0.9399  0.7176  0.7238
F  0.9399  0.0062  0.7238
F  0.0601  0.2824  0.2762
Cl  0.6033  0.5928  0.1855
W  0.0000  0.0000  0.0000
F  0.5000  0.8736  0.0000
F  0.5000  0.1264  0.0000
F  0.0601  0.9938  0.2762

Values from the calculation:
Final energy ... -4.2411 eV/atom
Crystal system ... monoclinic